(1)
Tc2AsAu | Alexandria | GGA-PBE | optimized geometry; formation energy from the elements = 0.227 eV per atom; magnetic moment = 0.00 μB/cell
1.0
8.693 0.000 0.000
8.206 2.869 0.000
8.206 1.394 2.508
As Au Tc
1 1 2
direct
0.250 0.250 0.250
0.750 0.750 0.750
0.992 0.992 0.992
0.508 0.508 0.508

(2)
PaNbAg2O6 | Alexandria | GGA-PBE | optimized geometry; raw formation energy = -2.086 eV/atom; magnetic moment = 0.00 μB/cell
1.0
4.341 0.000 0.000
0.000 5.879 0.000
0.000 0.000 5.879
Pa Nb Ag O
1 1 2 6
direct
0.657 0.500 0.500
0.598 0.000 0.000
0.059 0.500 0.000
0.059 0.000 0.500
0.684 0.238 0.238
0.684 0.238 0.762
0.162 0.500 0.500
0.176 0.000 0.000
0.684 0.762 0.762
0.684 0.762 0.238

(3)
Ho2Tl2Ag | Alexandria | GGA-PBE | optimized geometry; formation energy from the elements = -0.140 eV per atom; magnetic moment = 0.00 μB/cell; E above lowest polymorph = 88 meV per atom
1.0
-4.649 -3.189 2.773
0.114 -4.324 -4.782
6.705 0.186 4.340
Ho Tl Ag
4 4 2
direct
0.330 0.534 0.661
0.670 0.466 0.339
0.170 0.873 0.339
0.830 0.127 0.661
0.906 0.745 0.812
0.094 0.255 0.188
0.594 0.932 0.188
0.406 0.068 0.812
0.750 0.500 0.000
0.250 0.500 0.000

(4)
Ac4GeS3 | Alexandria | GGA-PBE | optimized geometry; raw formation energy = -1.739 eV/atom; magnetic moment = 0.00 μB/cell; E above lowest polymorph = 7 meV per atom
1.0
6.210 0.000 0.000
0.000 6.210 0.000
0.000 0.000 6.210
Ac Ge S
4 1 3
direct
0.500 0.000 0.000
0.000 0.500 0.000
0.000 0.000 0.500
0.500 0.500 0.500
0.000 0.000 0.000
0.000 0.500 0.500
0.500 0.000 0.500
0.500 0.500 0.000

(5)
Cd2SiSe | Alexandria | GGA-PBE | optimized geometry; raw formation energy = 0.198 eV/atom; magnetic moment = 0.00 μB/cell; E above lowest polymorph = 120 meV per atom
1.0
-0.956 1.971 -1.947
-4.040 1.149 3.147
3.101 3.995 2.522
Cd Se Si
2 1 1
direct
0.000 0.000 0.875
0.500 0.500 0.375
0.000 0.000 0.375
0.500 0.500 0.875

(6)
Pr3Tm4Hg | Alexandria | GGA-PBE | optimized geometry; formation energy from the elements = -0.108 eV per atom; magnetic moment = 0.00 μB/cell
1.0
3.613 0.000 0.000
0.000 3.613 0.000
0.000 0.000 19.001
Pr Tm Hg
3 4 1
direct
0.500 0.500 0.234
0.500 0.500 0.500
0.500 0.500 0.766
0.000 0.000 0.899
0.000 0.000 0.101
0.000 0.000 0.367
0.000 0.000 0.633
0.500 0.500 0.000

(7)
Cd3GaPt | Alexandria | GGA-PBE | optimized geometry; formation energy from the elements = -0.157 eV per atom; magnetic moment = 0.00 μB/cell; E above lowest polymorph = 0 meV per atom
1.0
-5.921 -1.655 -2.139
1.333 -4.921 -4.047
-2.435 -6.313 1.551
Cd Ga Pt
6 2 2
direct
0.059 0.417 0.791
0.417 0.059 0.791
0.583 0.941 0.209
0.450 0.450 0.265
0.941 0.583 0.209
0.550 0.550 0.735
0.086 0.086 0.609
0.914 0.914 0.391
0.778 0.778 0.844
0.222 0.222 0.156

(8)
ZrB2Mo | Alexandria | GGA-PBE | optimized geometry; formation energy from the elements = -0.675 eV per atom; magnetic moment = 0.00 μB/cell; E above lowest polymorph = 0 meV per atom
1.0
-0.975 -0.548 -3.095
-1.256 -2.789 0.889
-3.447 2.325 2.423
Zr B Mo
1 2 1
direct
0.432 0.500 0.403
0.142 0.500 0.822
0.038 0.000 0.616
0.719 0.000 0.977

(9)
K2TcAu | Alexandria | GGA-PBE | optimized geometry; formation energy from the elements = 0.925 eV per atom; magnetic moment = 2.81 μB/cell; E above lowest polymorph = 302 meV per atom
1.0
-2.573 3.740 4.300
-6.018 1.679 -0.248
3.550 -5.134 -0.363
Au K Tc
1 2 1
direct
0.750 0.250 0.500
0.000 0.000 0.000
0.500 0.500 0.000
0.250 0.750 0.500

(10)
Ca4Pt5 | Alexandria | GGA-PBE | optimized geometry; formation energy from the elements = -0.624 eV per atom; magnetic moment = 0.00 μB/cell; E above lowest polymorph = 10 meV per atom
1.0
8.548 0.000 0.000
4.274 7.402 0.000
0.000 0.000 5.875
Ca Pt
8 10
direct
0.000 0.000 0.000
0.000 0.000 0.500
0.627 0.373 0.250
0.000 0.627 0.250
0.373 0.000 0.250
0.373 0.627 0.750
0.000 0.373 0.750
0.627 0.000 0.750
0.300 0.700 0.250
0.000 0.300 0.250
0.700 0.000 0.250
0.700 0.300 0.750
0.000 0.700 0.750
0.300 0.000 0.750
0.333 0.333 0.000
0.667 0.667 0.500
0.667 0.667 0.000
0.333 0.333 0.500

(11)
TbInRh | Alexandria | GGA-PBE | optimized geometry; formation energy from the elements = -0.577 eV per atom; magnetic moment = 0.00 μB/cell
1.0
-0.754 1.015 -3.162
2.507 -1.952 -1.225
-4.420 -3.762 1.681
Tb Rh In
1 1 1
direct
0.598 0.598 0.195
0.944 0.944 0.888
0.308 0.308 0.617

(12)
BaTaCr | Alexandria | GGA-PBE | optimized geometry; formation energy from the elements = 1.559 eV per atom; magnetic moment = 1.06 μB/cell; E above lowest polymorph = 734 meV per atom
1.0
-2.042 -4.164 -1.336
2.365 -3.015 -2.933
1.707 -4.180 1.703
Ba Cr Ta
1 1 1
direct
0.500 0.500 0.500
0.750 0.750 0.750
0.000 0.000 0.000